1.
In8Ag2Hg after structural relaxation, computed with PBE-GGA.

Calculated density ... 7.62 Mg/m³

Cell: 7.760 7.760 5.888 Å, 104.38 104.38 58.83°
Atoms (fractional coordinates):
In: 0.100 0.100 0.891
In: 0.112 0.690 0.612
In: 0.310 0.888 0.388
In: 0.325 0.325 0.225
In: 0.675 0.675 0.775
In: 0.690 0.112 0.612
In: 0.888 0.310 0.388
In: 0.900 0.900 0.109
Ag: 0.275 0.275 0.698
Ag: 0.725 0.725 0.302
Hg: 0.500 0.500 0.000


2.
In3Ag12Hg after structural relaxation, computed with PBE-GGA.

Calculated density ... 10.07 Mg/m³

Cell: 4.215 4.215 17.067 Å, 90.00 90.00 90.00°
Atoms (fractional coordinates):
In: 0.000 0.000 0.000
In: 0.000 0.000 0.251
In: 0.000 0.000 0.749
Ag: 0.000 0.500 0.125
Ag: 0.000 0.500 0.375
Ag: 0.000 0.500 0.625
Ag: 0.000 0.500 0.875
Ag: 0.500 0.000 0.125
Ag: 0.500 0.000 0.375
Ag: 0.500 0.000 0.625
Ag: 0.500 0.000 0.875
Ag: 0.500 0.500 0.000
Ag: 0.500 0.500 0.250
Ag: 0.500 0.500 0.500
Ag: 0.500 0.500 0.750
Hg: 0.000 0.000 0.500


3.
InAgHg2 after structural relaxation, computed with PBE-GGA.

Calculated density ... 10.64 Mg/m³

Cell: 3.167 4.963 12.389 Å, 90.00 90.00 90.00°
Atoms (fractional coordinates):
In: 0.000 0.000 0.000
In: 0.500 0.500 0.500
Ag: 0.000 0.500 0.705
Ag: 0.500 0.000 0.205
Hg: 0.000 0.000 0.412
Hg: 0.000 0.500 0.205
Hg: 0.500 0.000 0.705
Hg: 0.500 0.500 0.912


4.
InAg2Hg after structural relaxation, computed with PBE-GGA.

Calculated density ... 10.71 Mg/m³
Energy above the lowest structure with this stoichiometry ... 7 kJ/mol of formula units

Cell: 4.379 4.379 8.588 Å, 90.00 90.00 90.00°
Atoms (fractional coordinates):
In: 0.000 0.000 0.000
In: 0.500 0.500 0.500
Ag: 0.000 0.500 0.250
Ag: 0.000 0.500 0.750
Ag: 0.500 0.000 0.250
Ag: 0.500 0.000 0.750
Hg: 0.000 0.000 0.500
Hg: 0.500 0.500 0.000


Asked for calculated formation energy across the records above, the calculation gives 69.1; -6.9; 60.9; 45.7 meV/atom in order.